Run i
Material: CsLa3Sn
Method: DFT, PBE
State: relaxed

Computed properties:
Total magnetization in μB per atom: 0.000

Cell and atoms, written as CIF:
```
data_CsLa3Sn
_chemical_formula_sum 'Cs1 La3 Sn1'
_symmetry_space_group_name_H-M 'P 1'
_symmetry_Int_Tables_number 1
_symmetry_space_group_name_Hall 'P 1'
_cell_length_a 6.275
_cell_length_b 6.275
_cell_length_c 6.275
_cell_angle_alpha 90.00
_cell_angle_beta 90.00
_cell_angle_gamma 90.00
loop_
_atom_site_label
_atom_site_fract_x
_atom_site_fract_y
_atom_site_fract_z
_atom_site_occupancy
Cs1 0.500 0.500 0.500 1
Sn1 0.000 0.000 0.000 1
La1 0.000 0.500 0.000 1
La2 0.000 0.000 0.500 1
La3 0.500 0.000 0.000 1
```

Run ii
Material: CsLa3Sn
Method: DFT, PBE
State: relaxed

Computed properties:
Total magnetization in μB per atom: 0.000

Cell and atoms, written as CIF:
```
data_CsLa3Sn
_chemical_formula_sum 'Cs1 La3 Sn1'
_symmetry_space_group_name_H-M 'P 1'
_symmetry_Int_Tables_number 1
_symmetry_space_group_name_Hall 'P 1'
_cell_length_a 5.815
_cell_length_b 5.815
_cell_length_c 5.815
_cell_angle_alpha 90.00
_cell_angle_beta 90.00
_cell_angle_gamma 90.00
loop_
_atom_site_label
_atom_site_fract_x
_atom_site_fract_y
_atom_site_fract_z
_atom_site_occupancy
Cs1 0.000 0.000 0.000 1
Sn1 0.500 0.500 0.500 1
La1 0.000 0.500 0.000 1
La2 0.000 0.000 0.500 1
La3 0.500 0.000 0.000 1
```

Most stable: run i (next structure +58.2 kJ/mol of atoms)

Run i
Material: CsLaSn3
Method: DFT, PBE
State: relaxed

Computed properties:
Total magnetization in μB per atom: 0.000

Cell and atoms, written as CIF:
```
data_CsLaSn3
_chemical_formula_sum 'Cs1 La1 Sn3'
_symmetry_space_group_name_H-M 'P 1'
_symmetry_Int_Tables_number 1
_symmetry_space_group_name_Hall 'P 1'
_cell_length_a 6.176
_cell_length_b 6.176
_cell_length_c 6.176
_cell_angle_alpha 90.00
_cell_angle_beta 90.00
_cell_angle_gamma 90.00
loop_
_atom_site_label
_atom_site_fract_x
_atom_site_fract_y
_atom_site_fract_z
_atom_site_occupancy
Cs1 0.500 0.500 0.500 1
Sn1 0.000 0.500 0.000 1
Sn2 0.000 0.000 0.500 1
Sn3 0.500 0.000 0.000 1
La1 0.000 0.000 0.000 1
```

Run ii
Material: CsLaSn3
Method: DFT, PBE
State: relaxed

Computed properties:
Total magnetization in μB per atom: 0.000

Cell and atoms, written as CIF:
```
data_CsLaSn3
_chemical_formula_sum 'Cs1 La1 Sn3'
_symmetry_space_group_name_H-M 'P 1'
_symmetry_Int_Tables_number 1
_symmetry_space_group_name_Hall 'P 1'
_cell_length_a 5.934
_cell_length_b 5.934
_cell_length_c 5.934
_cell_angle_alpha 90.00
_cell_angle_beta 90.00
_cell_angle_gamma 90.00
loop_
_atom_site_label
_atom_site_fract_x
_atom_site_fract_y
_atom_site_fract_z
_atom_site_occupancy
Cs1 0.000 0.000 0.000 1
Sn1 0.000 0.500 0.000 1
Sn2 0.000 0.000 0.500 1
Sn3 0.500 0.000 0.000 1
La1 0.500 0.500 0.500 1
```

Most stable: run i (next structure +80.0 kJ/mol of atoms)

Run i
Material: CsSrLa2
Method: DFT, PBE
State: relaxed

Computed properties:
Total magnetization in μB per atom: 0.000

Cell and atoms, written as CIF:
```
data_CsSrLa2
_chemical_formula_sum 'Cs2 Sr2 La4'
_symmetry_space_group_name_H-M 'P 1'
_symmetry_Int_Tables_number 1
_symmetry_space_group_name_Hall 'P 1'
_cell_length_a 10.004
_cell_length_b 10.004
_cell_length_c 7.932
_cell_angle_alpha 50.90
_cell_angle_beta 50.90
_cell_angle_gamma 90.00
loop_
_atom_site_label
_atom_site_fract_x
_atom_site_fract_y
_atom_site_fract_z
_atom_site_occupancy
Cs1 0.000 0.000 0.000 1
Cs2 0.750 0.250 0.500 1
Sr1 0.500 0.500 0.000 1
Sr2 0.250 0.750 0.500 1
La1 0.649 0.125 0.250 1
La2 0.101 0.625 0.250 1
La3 0.375 0.351 0.750 1
La4 0.875 0.899 0.750 1
```

Run ii
Material: CsSrLa2
Method: DFT, PBE
State: relaxed

Computed properties:
Total magnetization in μB per atom: 0.000

Cell and atoms, written as CIF:
```
data_CsSrLa2
_chemical_formula_sum 'Cs1 Sr1 La2'
_symmetry_space_group_name_H-M 'P 1'
_symmetry_Int_Tables_number 1
_symmetry_space_group_name_Hall 'P 1'
_cell_length_a 6.439
_cell_length_b 6.439
_cell_length_c 6.439
_cell_angle_alpha 60.00
_cell_angle_beta 60.00
_cell_angle_gamma 60.00
loop_
_atom_site_label
_atom_site_fract_x
_atom_site_fract_y
_atom_site_fract_z
_atom_site_occupancy
Cs1 0.500 0.500 0.500 1
Sr1 0.000 0.000 0.000 1
La1 0.250 0.250 0.250 1
La2 0.750 0.750 0.750 1
```

Most stable: run ii (next structure +6.9 kJ/mol of atoms)

Run i
Material: CsLa3Tc
Method: DFT, PBE
State: relaxed

Computed properties:
Total magnetization in μB per atom: 0.000

Cell and atoms, written as CIF:
```
data_CsLa3Tc
_chemical_formula_sum 'Cs1 La3 Tc1'
_symmetry_space_group_name_H-M 'P 1'
_symmetry_Int_Tables_number 1
_symmetry_space_group_name_Hall 'P 1'
_cell_length_a 5.751
_cell_length_b 5.751
_cell_length_c 5.751
_cell_angle_alpha 90.00
_cell_angle_beta 90.00
_cell_angle_gamma 90.00
loop_
_atom_site_label
_atom_site_fract_x
_atom_site_fract_y
_atom_site_fract_z
_atom_site_occupancy
Cs1 0.500 0.500 0.500 1
Tc1 0.000 0.000 0.000 1
La1 0.000 0.500 0.000 1
La2 0.000 0.000 0.500 1
La3 0.500 0.000 0.000 1
```

Run ii
Material: CsLa3Tc
Method: DFT, PBE
State: relaxed

Computed properties:
Total magnetization in μB per atom: 0.581

Cell and atoms, written as CIF:
```
data_CsLa3Tc
_chemical_formula_sum 'Cs1 La3 Tc1'
_symmetry_space_group_name_H-M 'P 1'
_symmetry_Int_Tables_number 1
_symmetry_space_group_name_Hall 'P 1'
_cell_length_a 5.811
_cell_length_b 5.811
_cell_length_c 5.811
_cell_angle_alpha 90.00
_cell_angle_beta 90.00
_cell_angle_gamma 90.00
loop_
_atom_site_label
_atom_site_fract_x
_atom_site_fract_y
_atom_site_fract_z
_atom_site_occupancy
Cs1 0.000 0.000 0.000 1
La1 0.000 0.500 0.000 1
La2 0.000 0.000 0.500 1
La3 0.500 0.000 0.000 1
Tc1 0.500 0.500 0.500 1
```

Most stable: run i (next structure +139.2 kJ/mol of atoms)

Run i
Material: CsLa2Tl
Method: DFT, PBE
State: relaxed

Computed properties:
Total magnetization in μB per atom: 0.000

Cell and atoms, written as CIF:
```
data_CsLa2Tl
_chemical_formula_sum 'Cs1 La2 Tl1'
_symmetry_space_group_name_H-M 'P 1'
_symmetry_Int_Tables_number 1
_symmetry_space_group_name_Hall 'P 1'
_cell_length_a 5.778
_cell_length_b 5.778
_cell_length_c 5.778
_cell_angle_alpha 60.00
_cell_angle_beta 60.00
_cell_angle_gamma 60.00
loop_
_atom_site_label
_atom_site_fract_x
_atom_site_fract_y
_atom_site_fract_z
_atom_site_occupancy
Cs1 0.000 0.000 0.000 1
Tl1 0.500 0.500 0.500 1
La1 0.250 0.250 0.250 1
La2 0.750 0.750 0.750 1
```

Run ii
Material: CsLa2Tl
Method: DFT, PBE
State: relaxed

Computed properties:
Total magnetization in μB per atom: 0.000

Cell and atoms, written as CIF:
```
data_CsLa2Tl
_chemical_formula_sum 'Cs2 La4 Tl2'
_symmetry_space_group_name_H-M 'P 1'
_symmetry_Int_Tables_number 1
_symmetry_space_group_name_Hall 'P 1'
_cell_length_a 5.120
_cell_length_b 5.120
_cell_length_c 12.812
_cell_angle_alpha 78.47
_cell_angle_beta 78.47
_cell_angle_gamma 90.00
loop_
_atom_site_label
_atom_site_fract_x
_atom_site_fract_y
_atom_site_fract_z
_atom_site_occupancy
Cs1 0.500 0.500 0.000 1
Cs2 0.250 0.750 0.500 1
Tl1 0.000 0.000 0.000 1
Tl2 0.750 0.250 0.500 1
La1 0.663 0.125 0.250 1
La2 0.087 0.625 0.250 1
La3 0.375 0.337 0.750 1
La4 0.875 0.913 0.750 1
```

Most stable: run i (next structure +17.0 kJ/mol of atoms)

Run i
Material: CsLaTl3
Method: DFT, PBE
State: relaxed

Computed properties:
Total magnetization in μB per atom: 0.000

Cell and atoms, written as CIF:
```
data_CsLaTl3
_chemical_formula_sum 'Cs1 La1 Tl3'
_symmetry_space_group_name_H-M 'P 1'
_symmetry_Int_Tables_number 1
_symmetry_space_group_name_Hall 'P 1'
_cell_length_a 6.126
_cell_length_b 6.126
_cell_length_c 6.126
_cell_angle_alpha 90.00
_cell_angle_beta 90.00
_cell_angle_gamma 90.00
loop_
_atom_site_label
_atom_site_fract_x
_atom_site_fract_y
_atom_site_fract_z
_atom_site_occupancy
Cs1 0.000 0.000 0.000 1
Tl1 0.000 0.500 0.000 1
Tl2 0.000 0.000 0.500 1
Tl3 0.500 0.000 0.000 1
La1 0.500 0.500 0.500 1
```

Run ii
Material: CsLaTl3
Method: DFT, PBE
State: relaxed

Computed properties:
Total magnetization in μB per atom: 0.000

Cell and atoms, written as CIF:
```
data_CsLaTl3
_chemical_formula_sum 'Cs1 La1 Tl3'
_symmetry_space_group_name_H-M 'P 1'
_symmetry_Int_Tables_number 1
_symmetry_space_group_name_Hall 'P 1'
_cell_length_a 6.298
_cell_length_b 6.298
_cell_length_c 6.298
_cell_angle_alpha 90.00
_cell_angle_beta 90.00
_cell_angle_gamma 90.00
loop_
_atom_site_label
_atom_site_fract_x
_atom_site_fract_y
_atom_site_fract_z
_atom_site_occupancy
Cs1 0.500 0.500 0.500 1
Tl1 0.000 0.500 0.000 1
Tl2 0.000 0.000 0.500 1
Tl3 0.500 0.000 0.000 1
La1 0.000 0.000 0.000 1
```

Most stable: run ii (next structure +58.4 kJ/mol of atoms)

Run i
Material: CsLaTl2
Method: DFT, PBE
State: relaxed

Computed properties:
Total magnetization in μB per atom: 0.000

Cell and atoms, written as CIF:
```
data_CsLaTl2
_chemical_formula_sum 'Cs1 La1 Tl2'
_symmetry_space_group_name_H-M 'P 1'
_symmetry_Int_Tables_number 1
_symmetry_space_group_name_Hall 'P 1'
_cell_length_a 5.974
_cell_length_b 5.974
_cell_length_c 5.974
_cell_angle_alpha 60.00
_cell_angle_beta 60.00
_cell_angle_gamma 60.00
loop_
_atom_site_label
_atom_site_fract_x
_atom_site_fract_y
_atom_site_fract_z
_atom_site_occupancy
Cs1 0.000 0.000 0.000 1
Tl1 0.250 0.250 0.250 1
Tl2 0.750 0.750 0.750 1
La1 0.500 0.500 0.500 1
```

Run ii
Material: CsLaTl2
Method: DFT, PBE
State: relaxed

Computed properties:
Total magnetization in μB per atom: 0.027

Cell and atoms, written as CIF:
```
data_CsLaTl2
_chemical_formula_sum 'Cs1 La1 Tl2'
_symmetry_space_group_name_H-M 'P 1'
_symmetry_Int_Tables_number 1
_symmetry_space_group_name_Hall 'P 1'
_cell_length_a 4.115
_cell_length_b 4.115
_cell_length_c 9.277
_cell_angle_alpha 90.00
_cell_angle_beta 90.00
_cell_angle_gamma 90.00
loop_
_atom_site_label
_atom_site_fract_x
_atom_site_fract_y
_atom_site_fract_z
_atom_site_occupancy
Cs1 0.500 0.500 0.500 1
Tl1 0.000 0.000 0.807 1
Tl2 0.000 0.000 0.193 1
La1 0.500 0.500 0.000 1
```

Most stable: run ii (next structure +23.9 kJ/mol of atoms)